(1)
# Ru2Br (PBE, relaxed)
# Magnetic moment = 0.00 μB/cell
# Formation energy (no corrections) = 1136 meV/atom
# VASP energy = -16.82 eV per cell
# Excess energy over the best structure of this formula in the dataset = 784 meV per atom
data_Ru2Br
_chemical_formula_sum 'Ru2 Br1'
_cell_length_a 3.538
_cell_length_b 3.538
_cell_length_c 4.588
_cell_angle_alpha 90.00
_cell_angle_beta 90.00
_cell_angle_gamma 90.00
_space_group_name_H-M_alt 'P 1'
_space_group_IT_number 1
_space_group_name_Hall 'P 1'
loop_
_atom_site_label
_atom_site_type_symbol
_atom_site_fract_x
_atom_site_fract_y
_atom_site_fract_z
_atom_site_occupancy
Br1 Br 0.000 0.000 0.000 1
Ru1 Ru 0.500 0.000 0.500 1
Ru2 Ru 0.000 0.500 0.500 1

***

(2)
# RuBr3 (PBE, relaxed)
# Magnetic moment = 1.01 μB/cell
# Formation energy (no corrections) = 27 meV/atom
# VASP energy = -14.19 eV per cell
data_RuBr3
_chemical_formula_sum 'Ru1 Br3'
_cell_length_a 6.728
_cell_length_b 6.728
_cell_length_c 6.728
_cell_angle_alpha 150.42
_cell_angle_beta 119.61
_cell_angle_gamma 68.67
_space_group_name_H-M_alt 'P 1'
_space_group_IT_number 1
_space_group_name_Hall 'P 1'
loop_
_atom_site_label
_atom_site_type_symbol
_atom_site_fract_x
_atom_site_fract_y
_atom_site_fract_z
_atom_site_occupancy
Br1 Br 0.172 0.103 0.069 1
Br2 Br 0.466 0.397 0.069 1
Br3 Br 0.737 0.250 0.487 1
Ru1 Ru 0.458 0.750 0.708 1

***

(3)
# Ru3Br (PBE, relaxed)
# Magnetic moment = 0.00 μB/cell
# Formation energy (no corrections) = 643 meV/atom
# VASP energy = -26.93 eV per cell
# Excess energy over the best structure of this formula in the dataset = 66 meV per atom
data_Ru3Br
_chemical_formula_sum 'Ru3 Br1'
_cell_length_a 8.801
_cell_length_b 8.801
_cell_length_c 8.801
_cell_angle_alpha 18.70
_cell_angle_beta 18.70
_cell_angle_gamma 18.70
_space_group_name_H-M_alt 'P 1'
_space_group_IT_number 1
_space_group_name_Hall 'P 1'
loop_
_atom_site_label
_atom_site_type_symbol
_atom_site_fract_x
_atom_site_fract_y
_atom_site_fract_z
_atom_site_occupancy
Ru1 Ru 0.500 0.500 0.500 1
Ru2 Ru 0.247 0.247 0.247 1
Ru3 Ru 0.753 0.753 0.753 1
Br1 Br 0.000 0.000 0.000 1

***

(4)
# RuBr4 (PBE, relaxed)
# Magnetic moment = 1.47 μB/cell
# Formation energy (no corrections) = 247 meV/atom
# VASP energy = -14.73 eV per cell
# Excess energy over the best structure of this formula in the dataset = 457 meV per atom
data_RuBr4
_chemical_formula_sum 'Ru1 Br4'
_cell_length_a 5.064
_cell_length_b 5.064
_cell_length_c 5.064
_cell_angle_alpha 90.00
_cell_angle_beta 90.00
_cell_angle_gamma 90.00
_space_group_name_H-M_alt 'P 1'
_space_group_IT_number 1
_space_group_name_Hall 'P 1'
loop_
_atom_site_label
_atom_site_type_symbol
_atom_site_fract_x
_atom_site_fract_y
_atom_site_fract_z
_atom_site_occupancy
Ru1 Ru 0.500 0.500 0.500 1
Br1 Br 0.500 0.500 0.000 1
Br2 Br 0.500 0.000 0.500 1
Br3 Br 0.000 0.500 0.500 1
Br4 Br 0.000 0.000 0.000 1

***

(5)
# RuBr3 (PBE, relaxed)
# Magnetic moment = 1.81 μB/cell
# Formation energy (no corrections) = 137 meV/atom
# VASP energy = -27.49 eV per cell
data_RuBr3
_chemical_formula_sum 'Ru2 Br6'
_cell_length_a 8.871
_cell_length_b 8.871
_cell_length_c 3.808
_cell_angle_alpha 90.00
_cell_angle_beta 90.00
_cell_angle_gamma 98.64
_space_group_name_H-M_alt 'P 1'
_space_group_IT_number 1
_space_group_name_Hall 'P 1'
loop_
_atom_site_label
_atom_site_type_symbol
_atom_site_fract_x
_atom_site_fract_y
_atom_site_fract_z
_atom_site_occupancy
Ru1 Ru 0.452 0.548 0.250 1
Ru2 Ru 0.548 0.452 0.750 1
Br1 Br 0.082 0.918 0.250 1
Br2 Br 0.549 0.810 0.250 1
Br3 Br 0.451 0.190 0.750 1
Br4 Br 0.918 0.082 0.750 1
Br5 Br 0.190 0.451 0.250 1
Br6 Br 0.810 0.549 0.750 1

***

(6)
# RuBr5 (PBE, relaxed)
# Magnetic moment = 0.00 μB/cell
# Formation energy (no corrections) = 103 meV/atom
# VASP energy = -17.02 eV per cell
# Excess energy over the best structure of this formula in the dataset = 0 meV per atom
data_RuBr5
_chemical_formula_sum 'Ru1 Br5'
_cell_length_a 7.071
_cell_length_b 7.071
_cell_length_c 7.689
_cell_angle_alpha 74.90
_cell_angle_beta 74.90
_cell_angle_gamma 30.90
_space_group_name_H-M_alt 'P 1'
_space_group_IT_number 1
_space_group_name_Hall 'P 1'
loop_
_atom_site_label
_atom_site_type_symbol
_atom_site_fract_x
_atom_site_fract_y
_atom_site_fract_z
_atom_site_occupancy
Ru1 Ru 0.725 0.725 0.559 1
Br1 Br 0.350 0.350 0.528 1
Br2 Br 0.989 0.989 0.006 1
Br3 Br 0.673 0.673 0.872 1
Br4 Br 0.112 0.112 0.518 1
Br5 Br 0.317 0.317 0.016 1

***

(7)
# Ru2Br (PBE, relaxed)
# Magnetic moment = 0.00 μB/cell
# Formation energy (no corrections) = 989 meV/atom
# VASP energy = -34.52 eV per cell
# Excess energy over the best structure of this formula in the dataset = 637 meV per atom
data_Ru2Br
_chemical_formula_sum 'Ru4 Br2'
_cell_length_a 8.807
_cell_length_b 8.807
_cell_length_c 8.807
_cell_angle_alpha 160.98
_cell_angle_beta 151.60
_cell_angle_gamma 34.41
_space_group_name_H-M_alt 'P 1'
_space_group_IT_number 1
_space_group_name_Hall 'P 1'
loop_
_atom_site_label
_atom_site_type_symbol
_atom_site_fract_x
_atom_site_fract_y
_atom_site_fract_z
_atom_site_occupancy
Ru1 Ru 0.219 0.969 0.250 1
Ru2 Ru 0.930 0.180 0.750 1
Ru3 Ru 0.781 0.031 0.750 1
Ru4 Ru 0.070 0.820 0.250 1
Br1 Br 0.592 0.342 0.250 1
Br2 Br 0.408 0.658 0.750 1

***

(8)
# RuS8Br2 (PBE, relaxed)
# Magnetic moment = 0.00 μB/cell
# Formation energy (no corrections) = -17 meV/atom
# VASP energy = -45.83 eV per cell
data_RuS8Br2
_chemical_formula_sum 'Ru1 S8 Br2'
_cell_length_a 8.338
_cell_length_b 3.849
_cell_length_c 28.246
_cell_angle_alpha 59.49
_cell_angle_beta 22.57
_cell_angle_gamma 56.23
_space_group_name_H-M_alt 'P 1'
_space_group_IT_number 1
_space_group_name_Hall 'P 1'
loop_
_atom_site_label
_atom_site_type_symbol
_atom_site_fract_x
_atom_site_fract_y
_atom_site_fract_z
_atom_site_occupancy
S1 S 0.901 0.459 0.712 1
S2 S 0.514 0.668 0.114 1
S3 S 0.099 0.541 0.288 1
S4 S 0.484 0.691 0.755 1
S5 S 0.952 0.652 0.107 1
S6 S 0.486 0.332 0.886 1
S7 S 0.516 0.309 0.245 1
S8 S 0.048 0.348 0.893 1
Br1 Br 0.337 0.247 0.437 1
Br2 Br 0.663 0.753 0.563 1
Ru1 Ru 0.000 0.000 0.000 1

***

(9)
# RuSBr2 (PBE, relaxed)
# Magnetic moment = 0.00 μB/cell
# Formation energy (no corrections) = 790 meV/atom
# VASP energy = -27.18 eV per cell
# Excess energy over the best structure of this formula in the dataset = 244 meV per atom
data_RuSBr2
_chemical_formula_sum 'Ru2 S2 Br4'
_cell_length_a 6.954
_cell_length_b 6.954
_cell_length_c 6.274
_cell_angle_alpha 56.35
_cell_angle_beta 56.35
_cell_angle_gamma 90.00
_space_group_name_H-M_alt 'P 1'
_space_group_IT_number 1
_space_group_name_Hall 'P 1'
loop_
_atom_site_label
_atom_site_type_symbol
_atom_site_fract_x
_atom_site_fract_y
_atom_site_fract_z
_atom_site_occupancy
Ru1 Ru 0.000 0.000 0.000 1
Ru2 Ru 0.750 0.250 0.500 1
S1 S 0.250 0.750 0.500 1
S2 S 0.500 0.500 0.000 1
Br1 Br 0.074 0.625 0.250 1
Br2 Br 0.875 0.926 0.750 1
Br3 Br 0.676 0.125 0.250 1
Br4 Br 0.375 0.324 0.750 1

***

(10)
# RuSBr (PBE, relaxed)
# Magnetic moment = 0.00 μB/cell
# Formation energy (no corrections) = -246 meV/atom
# VASP energy = -63.25 eV per cell
data_RuSBr
_chemical_formula_sum 'Ru4 S4 Br4'
_cell_length_a 5.885
_cell_length_b 6.617
_cell_length_c 6.558
_cell_angle_alpha 111.26
_cell_angle_beta 90.00
_cell_angle_gamma 90.00
_space_group_name_H-M_alt 'P 1'
_space_group_IT_number 1
_space_group_name_Hall 'P 1'
loop_
_atom_site_label
_atom_site_type_symbol
_atom_site_fract_x
_atom_site_fract_y
_atom_site_fract_z
_atom_site_occupancy
Ru1 Ru 0.038 0.289 0.248 1
Ru2 Ru 0.962 0.711 0.752 1
Ru3 Ru 0.538 0.711 0.252 1
Ru4 Ru 0.462 0.289 0.748 1
S1 S 0.343 0.395 0.107 1
S2 S 0.657 0.605 0.893 1
S3 S 0.157 0.395 0.607 1
S4 S 0.843 0.605 0.393 1
Br1 Br 0.657 0.125 0.367 1
Br2 Br 0.843 0.125 0.867 1
Br3 Br 0.343 0.875 0.633 1
Br4 Br 0.157 0.875 0.133 1

***

(11)
# Ru2SBr (PBE, relaxed)
# Magnetic moment = 0.00 μB/cell
# Formation energy (no corrections) = 322 meV/atom
# VASP energy = -46.13 eV per cell
# Excess energy over the best structure of this formula in the dataset = 0 meV per atom
data_Ru2SBr
_chemical_formula_sum 'Ru4 S2 Br2'
_cell_length_a 5.267
_cell_length_b 5.267
_cell_length_c 6.883
_cell_angle_alpha 67.50
_cell_angle_beta 67.50
_cell_angle_gamma 90.00
_space_group_name_H-M_alt 'P 1'
_space_group_IT_number 1
_space_group_name_Hall 'P 1'
loop_
_atom_site_label
_atom_site_type_symbol
_atom_site_fract_x
_atom_site_fract_y
_atom_site_fract_z
_atom_site_occupancy
Ru1 Ru 0.188 0.625 0.250 1
Ru2 Ru 0.562 0.125 0.250 1
Ru3 Ru 0.375 0.438 0.750 1
Ru4 Ru 0.875 0.812 0.750 1
S1 S 0.500 0.500 0.000 1
S2 S 0.250 0.750 0.500 1
Br1 Br 0.000 0.000 0.000 1
Br2 Br 0.750 0.250 0.500 1

***

(12)
# RuSBr2 (PBE, relaxed)
# Magnetic moment = 0.00 μB/cell
# Formation energy (no corrections) = 545 meV/atom
# VASP energy = -14.57 eV per cell
# Excess energy over the best structure of this formula in the dataset = 0 meV per atom
data_RuSBr2
_chemical_formula_sum 'Ru1 S1 Br2'
_cell_length_a 7.795
_cell_length_b 7.795
_cell_length_c 7.795
_cell_angle_alpha 28.40
_cell_angle_beta 28.40
_cell_angle_gamma 28.40
_space_group_name_H-M_alt 'P 1'
_space_group_IT_number 1
_space_group_name_Hall 'P 1'
loop_
_atom_site_label
_atom_site_type_symbol
_atom_site_fract_x
_atom_site_fract_y
_atom_site_fract_z
_atom_site_occupancy
Ru1 Ru 0.500 0.500 0.500 1
Br1 Br 0.109 0.109 0.109 1
Br2 Br 0.891 0.891 0.891 1
S1 S 0.000 0.000 0.000 1

***

Number 1: density of states at the Fermi level 5.412 states/eV/f.u.. Number 2: density of states at the Fermi level 3.005 states/eV/f.u.. Number 3: density of states at the Fermi level 4.465 states/eV/f.u.. Number 4: density of states at the Fermi level 7.142 states/eV/f.u.. Number 5: density of states at the Fermi level 1.348 states/eV/f.u.. Number 6: density of states at the Fermi level 4.346 states/eV/f.u.. Number 7: density of states at the Fermi level 3.294 states/eV/f.u.. Number 8: density of states at the Fermi level 3.683 states/eV/f.u.. Number 9: density of states at the Fermi level 3.808 states/eV/f.u.. Number 10: density of states at the Fermi level 1.644 states/eV/f.u.. Number 11: density of states at the Fermi level 5.176 states/eV/f.u.. Number 12: density of states at the Fermi level 1.569 states/eV/f.u..